1.
A plane-wave DFT calculation with PBE was carried out for an optimized crystal structure of Th3UPt12.

abc: 4.2198 4.2198 16.8594
angles: 90.00 90.00 90.00
Closest atoms and distances in Å follow each position.
Fractional positions:
Th1 0.0000 0.0000 0.0000  12 Pt 2.98-2.99
Th2 0.0000 0.0000 0.2523  12 Pt 2.98-3.00
Th3 0.0000 0.0000 0.7477  12 Pt 2.98-3.00
U1 0.0000 0.0000 0.5000  12 Pt 2.96-2.98
Pt1 0.0000 0.5000 0.1257  8 Pt 2.98-2.99, 4 Th 2.99-3.00
Pt2 0.0000 0.5000 0.3772  2 U 2.96, 8 Pt 2.96-3.00, 2 Th 2.98
Pt3 0.0000 0.5000 0.6228  2 U 2.96, 8 Pt 2.96-3.00, 2 Th 2.98
Pt4 0.0000 0.5000 0.8743  8 Pt 2.98-2.99, 4 Th 2.99-3.00
Pt5 0.5000 0.0000 0.1257  8 Pt 2.98-2.99, 4 Th 2.99-3.00
Pt6 0.5000 0.0000 0.3772  2 U 2.96, 8 Pt 2.96-3.00, 2 Th 2.98
Pt7 0.5000 0.0000 0.6228  2 U 2.96, 8 Pt 2.96-3.00, 2 Th 2.98
Pt8 0.5000 0.0000 0.8743  8 Pt 2.98-2.99, 4 Th 2.99-3.00
Pt9 0.5000 0.5000 0.0000  4 Th 2.98, 8 Pt 2.99
Pt10 0.5000 0.5000 0.2509  4 Th 2.98, 8 Pt 2.98-3.00
Pt11 0.5000 0.5000 0.5000  8 Pt 2.96, 4 U 2.98
Pt12 0.5000 0.5000 0.7491  4 Th 2.98, 8 Pt 2.98-3.00

Its crystal system is tetragonal. For the volume, the calculation gives 18.76 A^3/atom. The raw total energy is -7.625 eV/atom. The formation energy is -0.998 eV per atom.

2.
A plane-wave DFT calculation with PBE was carried out for an optimized crystal structure of ThUPt2.

abc: 6.8648 6.8648 6.8648
angles: 35.90 35.90 35.90
Closest atoms and distances in Å follow each position.
Fractional positions:
Th1 0.0000 0.0000 0.0000  6 Pt 2.97
U1 0.5000 0.5000 0.5000  6 Pt 2.88
Pt1 0.2456 0.2456 0.2456  3 U 2.88, 3 Th 2.97
Pt2 0.7544 0.7544 0.7544  3 U 2.88, 3 Th 2.97

Its crystal system is trigonal. For the volume, the calculation gives 24.87 A^3/atom. The raw total energy is -8.505 eV/atom. The formation energy is -0.808 eV per atom.